Entry 1:
Ga2Cu7Au2 PBE optimized geometry; V = 151.64 Å³/f.u.; polymorph energy (0 for the lowest one) = 0 meV/atom; space group = P2_1 (4); D(E_F) = 8.26 states/eV per cell
1.0
-1.210 -1.714 -3.301
-2.223 -3.917 2.849
-13.011 6.713 -0.916
Ga Cu Au
4 14 4
Cartesian
-14.128 3.442 -2.285
-10.852 -1.178 -1.125
-6.252 1.096 0.605
-2.988 -3.544 1.780
-3.961 -0.198 0.416
-7.420 -0.733 1.990
-1.754 -1.526 0.277
-9.652 3.328 -1.591
-6.287 -1.355 -0.423
-2.866 -0.822 -1.995
-13.077 2.786 -0.013
-15.247 1.625 -0.929
-5.144 -2.100 1.848
-7.482 1.996 -1.707
-8.467 -0.043 -0.294
-11.866 2.184 -2.488
-13.056 0.270 -1.048
-9.607 0.787 -2.609
-11.948 4.748 -1.452
-5.175 0.631 -1.873
-10.734 1.392 -0.178
-3.980 -2.758 -0.575

Entry 2:
HgPdW3 PBE optimized geometry; V = 107.05 Å³/f.u.; polymorph energy (0 for the lowest one) = 0 meV/atom; space group = Pm-3m (221); D(E_F) = 5.92 states/eV per cell
1.0
-3.471 0.792 3.142
1.483 -3.705 2.573
2.881 2.862 2.461
Hg W Pd
1 3 1
Cartesian
0.447 -0.025 4.088
0.742 -1.852 1.286
1.440 1.431 1.230
-1.735 0.396 1.571
0.000 0.000 0.000

Entry 3:
V3ZnW PBE optimized geometry; V = 83.71 Å³/f.u.; polymorph energy (0 for the lowest one) = 127 meV/atom; space group = Pm-3m (221); D(E_F) = 6.75 states/eV per cell
1.0
4.374 0.000 0.000
0.000 4.374 0.000
0.000 0.000 4.374
Zn W V
1 1 3
Cartesian
0.000 0.000 0.000
2.187 2.187 2.187
0.000 0.000 2.187
0.000 2.187 0.000
2.187 0.000 0.000

Entry 4:
ZnTc2Te PBE optimized geometry; V = 63.55 Å³/f.u.; polymorph energy (0 for the lowest one) = 141 meV/atom; ΔE_f (raw) = 7.4 kcal/mol of atoms; space group = P4/mmm (123); D(E_F) = 3.85 states/eV per cell
1.0
4.441 0.000 0.000
0.000 4.441 0.000
0.000 0.000 3.222
Tc Zn Te
2 1 1
Cartesian
2.221 2.221 0.000
0.000 0.000 0.000
0.000 2.221 1.611
2.221 0.000 1.611

Entry 5:
Y2CuRu2 PBE optimized geometry; V = 99.01 Å³/f.u.; space group = C2/c (15); D(E_F) = 8.03 states/eV per cell; energy = -73.3 eV for the cell shown
1.0
5.489 0.000 0.000
-2.745 4.546 0.030
0.000 -2.056 7.921
Y Cu Ru
4 2 4
Cartesian
1.989 1.066 1.219
0.756 1.424 6.732
3.501 0.038 5.180
-0.756 2.452 2.771
0.812 -1.542 5.941
4.678 -0.514 1.980
3.469 1.299 7.913
0.724 0.164 3.999
-0.724 1.192 0.039
2.020 2.326 3.952

Entry 6:
K2TcAuBr PBE optimized geometry; V = 205.24 Å³/f.u.; ΔE_f (raw) = 16.3 kcal/mol of atoms; space group = P4/mmm (123); D(E_F) = 6.94 states/eV per cell
1.0
-3.601 4.907 -1.316
-3.526 -3.206 -2.305
-2.933 -0.691 5.449
Au K Br Tc
1 2 1 1
Cartesian
-1.763 -1.603 -1.153
-1.800 2.453 -0.658
-1.467 -0.346 2.724
0.000 0.000 0.000
-5.030 0.505 0.914

Entry 7:
RbI PBE optimized geometry; V = 128.46 Å³/f.u.; ΔE_f (raw) = -33.6 kcal/mol of atoms; space group = P6_3/mmc (194); D(E_F) = 0.00 states/eV per cell
1.0
-4.952 1.811 -3.510
-0.701 -4.540 4.361
-1.711 5.119 5.054
I Rb
2 2
Cartesian
-3.401 1.417 5.528
-3.962 0.974 0.377
-4.818 3.533 2.904
-2.545 -1.143 3.001

Entry 8:
CePuIn PBE optimized geometry; V = 75.92 Å³/f.u.; polymorph energy (0 for the lowest one) = 112 meV/atom; space group = Cm (8); D(E_F) = 6.46 states/eV per cell
1.0
3.333 -0.002 -0.011
0.001 3.179 -0.004
-1.642 0.002 7.171
Ce Pu In
1 1 1
Cartesian
-1.060 1.466 5.461
0.599 1.471 3.253
2.257 3.056 0.802